[1]
The following is a DFT calculation (GGA-PBE) of a relaxed LiInSeO4 crystal.

Cell: 7.0232 6.2559 6.2559 Å, 61.89 55.85 55.85°
Element x y z (fractional)
O (0.2198, 0.2316, 0.7316)
O (0.1829, 0.7684, 0.2684)
O (0.2890, 0.6744, 0.7476)
O (0.8171, 0.2316, 0.7316)
O (0.7110, 0.3256, 0.2524)
O (0.2890, 0.2476, 0.1744)
O (0.7110, 0.7524, 0.8256)
O (0.7802, 0.7684, 0.2684)
Se (0.5833, 0.6667, 0.1667)
Se (0.4167, 0.3333, 0.8333)
In (0.0000, 0.5000, 0.5000)
In (0.0000, 0.0000, 0.0000)
Li (0.0000, 0.0000, 0.5000)
Li (0.5000, 0.0000, 0.5000)

Results
- Density of states at the Fermi level: 0.000 states/eV/f.u.
- Formation energy without anion corrections: -1.2539 eV/atom
- Energy: -5.250 eV/atom

***

[2]
The following is a DFT calculation (GGA-PBE) of a relaxed TiVTe6 crystal.

Cell: 6.7288 6.8096 7.9238 Å, 55.94 55.36 56.19°
Each line ends with the local moment (μB).
Element x y z (fractional)
Te (0.4098, 0.8037, 0.6834)  -0.05
Te (0.0290, 0.4626, 0.7612)  -0.07
Te (0.5902, 0.1963, 0.3166)  -0.05
Te (0.9710, 0.5374, 0.2388)  -0.07
Te (0.6977, 0.1005, 0.8203)  -0.05
Te (0.3023, 0.8995, 0.1797)  -0.05
Ti (0.5000, 0.5000, 0.5000)  0.18
V (0.0000, 0.0000, 0.0000)  1.45

Results
- Density of states at the Fermi level: 5.211 states/eV/f.u.
- Formation energy without anion corrections: -0.2413 eV/atom
- Energy: -4.724 eV/atom

***

[3]
The following is a DFT calculation (GGA-PBE) of a relaxed YCo2Mo crystal.

Cell: 4.4984 4.4984 3.1396 Å, 90.00 90.00 90.00°
Each line ends with the local moment (μB).
Element x y z (fractional)
Co (0.5000, 0.5000, 0.0000)  1.29
Co (0.0000, 0.0000, 0.0000)  1.29
Mo (0.5000, 0.0000, 0.5000)  0.89
Y (0.0000, 0.5000, 0.5000)  -0.16

Results
- Density of states at the Fermi level: 4.467 states/eV/f.u.
- Energy: -7.659 eV/atom

***

[4]
The following is a DFT calculation (GGA-PBE) of a relaxed Cs2BaZrCl6 crystal.

Cell: 7.9809 7.9809 7.9807 Å, 60.00 60.00 90.00°
Each line ends with the local moment (μB).
Element x y z (fractional)
Cl (0.2671, 0.7329, 0.0000)  -0.01
Cl (0.7329, 0.7329, 0.0000)  -0.01
Cl (0.2671, 0.2671, 0.0000)  -0.01
Cl (0.7329, 0.7329, 0.5342)  -0.01
Cl (0.2671, 0.2671, 0.4658)  -0.01
Cl (0.7329, 0.2671, 0.0000)  -0.01
Cs (0.2500, 0.7500, 0.5000)  0.00
Cs (0.7500, 0.2500, 0.5000)  0.00
Zr (0.5000, 0.5000, 0.0000)  1.21
Ba (0.0000, 0.0000, 0.0000)  0.05

Results
- Density of states at the Fermi level: 10.019 states/eV/f.u.
- Formation energy without anion corrections: -1.8889 eV/atom
- Energy: -4.215 eV/atom

***

[5]
The following is a DFT calculation (GGA-PBE) of a relaxed PmHoIrBr crystal.

Cell: 4.0837 4.0834 8.0800 Å, 90.01 104.64 120.00°
Element x y z (fractional)
Br (0.9636, 0.3801, 0.3581)
Ir (0.3083, 0.5520, 0.8758)
Pm (0.5097, 0.1526, 0.6779)
Ho (0.0963, 0.9460, 0.0579)

Results
- Density of states at the Fermi level: 0.745 states/eV/f.u.
- Formation energy without anion corrections: -1.0858 eV/atom
- Energy: -6.051 eV/atom

***

[6]
The following is a DFT calculation (GGA-PBE) of a relaxed Zn2AsRh crystal.

Cell: 4.7061 2.9434 4.5203 Å, 95.30 90.00 90.00°
Element x y z (fractional)
As (0.5000, 0.2500, 0.2500)
Rh (0.5000, 0.7500, 0.7500)
Zn (0.0000, 0.0313, 0.9858)
Zn (0.0000, 0.4687, 0.5142)

Results
- Density of states at the Fermi level: 2.286 states/eV/f.u.
- Energy: -3.714 eV/atom

***

[7]
The following is a DFT calculation (GGA-PBE) of a relaxed LiCe2SnS5 crystal.

Cell: 3.9635 8.7644 11.6589 Å, 90.00 90.00 103.07°
Each line ends with the local moment (μB).
Element x y z (fractional)
S (0.3046, 0.6092, 0.6521)  -0.02
S (0.6954, 0.3908, 0.1521)  -0.02
S (0.7047, 0.4094, 0.8305)  -0.03
S (0.2953, 0.5906, 0.3305)  -0.03
S (0.9733, 0.9466, 0.5962)  -0.02
S (0.0267, 0.0534, 0.0962)  -0.02
S (0.6369, 0.2739, 0.4956)  -0.02
S (0.5103, 0.0206, 0.7852)  -0.02
S (0.4897, 0.9794, 0.2852)  -0.02
S (0.3631, 0.7261, 0.9956)  -0.02
Ce (0.8761, 0.7523, 0.8008)  0.72
Ce (0.1308, 0.2616, 0.6818)  0.76
Ce (0.8692, 0.7384, 0.1818)  0.76
Ce (0.1239, 0.2477, 0.3008)  0.72
Li (0.2258, 0.4516, 0.0004)  0.00
Li (0.7742, 0.5484, 0.5004)  0.00
Sn (0.4191, 0.8382, 0.4813)  -0.01
Sn (0.5809, 0.1618, 0.9813)  -0.01

Results
- Density of states at the Fermi level: 12.984 states/eV/f.u.
- Formation energy without anion corrections: -1.3748 eV/atom
- Energy: -5.644 eV/atom

***

[8]
The following is a DFT calculation (GGA-PBE) of a relaxed Ti4S5N crystal.

Cell: 3.2905 6.7846 7.5888 Å, 101.99 102.52 90.00°
Element x y z (fractional)
N (0.5000, 0.0000, 0.0000)
S (0.1693, 0.8280, 0.3385)
S (0.5000, 0.5000, 0.0000)
S (0.8307, 0.1720, 0.6615)
S (0.1624, 0.3302, 0.3248)
S (0.8376, 0.6698, 0.6752)
Ti (0.0011, 0.7793, 0.0023)
Ti (0.6442, 0.0717, 0.2883)
Ti (0.3558, 0.9283, 0.7117)
Ti (0.9989, 0.2207, 0.9977)

Results
- Density of states at the Fermi level: 3.578 states/eV/f.u.
- Formation energy without anion corrections: -1.3760 eV/atom
- Energy: -7.430 eV/atom

***

[9]
The following is a DFT calculation (GGA-PBE) of a relaxed Rb3SF6 crystal.

Cell: 6.0579 6.0578 11.0354 Å, 90.00 90.00 90.00°
Each line ends with the local moment (μB).
Element x y z (fractional)
F (0.9994, 0.0004, 0.2563)  0.07
F (0.0880, 0.2900, 0.9999)  0.04
F (0.0006, 0.9996, 0.7437)  0.07
F (0.2100, 0.4120, 0.4995)  0.04
F (0.7100, 0.0880, 0.9995)  0.04
F (0.4994, 0.4996, 0.7563)  0.07
F (0.5880, 0.2100, 0.4999)  0.04
F (0.9120, 0.7100, 0.0001)  0.04
F (0.4120, 0.7900, 0.5001)  0.04
F (0.5006, 0.5004, 0.2437)  0.07
F (0.7900, 0.5880, 0.5005)  0.04
F (0.2900, 0.9120, 0.0005)  0.04
Rb (0.4998, 0.9998, 0.7500)  0.00
Rb (0.9998, 0.5002, 0.2500)  0.00
Rb (0.5000, 0.5000, 0.0000)  0.00
Rb (0.0000, 0.0000, 0.5000)  0.00
Rb (0.5002, 0.0002, 0.2500)  0.00
Rb (0.0002, 0.4998, 0.7500)  0.00
S (0.5000, 0.5000, 0.5000)  0.47
S (0.0000, 0.0000, 0.0000)  0.47

Results
- Formation energy without anion corrections: -2.1405 eV/atom
- Energy: -3.966 eV/atom

***

[10]
The following is a DFT calculation (GGA-PBE) of a relaxed Pr3Sm2Dy6In crystal.

Cell: 6.1697 6.1697 11.8051 Å, 95.01 95.01 120.01°
Element x y z (fractional)
In (0.0000, 0.0000, 0.0000)
Dy (0.0809, 0.4076, 0.2441)
Dy (0.4076, 0.0809, 0.2441)
Dy (0.9191, 0.5924, 0.7559)
Dy (0.7543, 0.7543, 0.2450)
Dy (0.2457, 0.2457, 0.7550)
Dy (0.5924, 0.9191, 0.7559)
Pr (0.1676, 0.8324, 0.5000)
Pr (0.5000, 0.5000, 0.5000)
Pr (0.8324, 0.1676, 0.5000)
Sm (0.6664, 0.3336, 0.0000)
Sm (0.3336, 0.6664, 0.0000)

Results
- Density of states at the Fermi level: 16.325 states/eV/f.u.
- Energy: -4.558 eV/atom

***

[11]
The following is a DFT calculation (GGA-PBE) of a relaxed Y2Al3Zn4Cu crystal.

Cell: 4.1627 4.1627 10.6004 Å, 90.00 90.00 90.00°
Element x y z (fractional)
Zn (0.0000, 0.0000, 0.0000)
Zn (0.5000, 0.5000, 0.0000)
Zn (0.0000, 0.5000, 0.3687)
Zn (0.5000, 0.0000, 0.6313)
Y (0.0000, 0.5000, 0.7463)
Y (0.5000, 0.0000, 0.2537)
Al (0.5000, 0.0000, 0.8606)
Al (0.0000, 0.0000, 0.5000)
Al (0.0000, 0.5000, 0.1394)
Cu (0.5000, 0.5000, 0.5000)

Results
- Density of states at the Fermi level: 5.299 states/eV/f.u.
- Energy: -3.666 eV/atom

***

[12]
The following is a DFT calculation (GGA-PBE) of a relaxed SiNCl2 crystal.

Cell: 10.0922 10.0922 10.0922 Å, 21.94 21.94 21.94°
Each line ends with the local moment (μB).
Element x y z (fractional)
Si (0.5000, 0.5000, 0.5000)  0.00
Cl (0.1180, 0.1180, 0.1180)  0.01
Cl (0.8820, 0.8820, 0.8820)  0.01
N (0.0000, 0.0000, 0.0000)  1.94

Results
- Density of states at the Fermi level: 0.000 states/eV/f.u.
- Formation energy without anion corrections: 0.9532 eV/atom
- Energy: -3.407 eV/atom